# 1
A plane-wave DFT calculation with PBE-GGA was carried out for a relaxed structure of Tb3Y3Tm.

```
data_Tb3Y3Tm
_cell_length_a 6.1884
_cell_length_b 6.1884
_cell_length_c 42.4349
_cell_angle_alpha 90.00
_cell_angle_beta 90.00
_cell_angle_gamma 120.00
_symmetry_space_group_name_H-M 'R -3'
_symmetry_Int_Tables_number 148
_symmetry_space_group_name_Hall '-R 3'
loop_
_atom_site_label
_atom_site_fract_x
_atom_site_fract_y
_atom_site_fract_z
Tb1 0.0002 0.3313 0.1327
Y1 0.0003 0.3332 0.2676
Tm1 0.0000 0.0000 0.3333
```

Values from the calculation:
Electronic total energy (eV/cell): -220.25
DFT formation energy (kJ/mol of atoms): 14.4


# 2
A plane-wave DFT calculation with PBE-GGA was carried out for a relaxed structure of Tb2YTm.

```
data_Tb2YTm
_cell_length_a 6.934
_cell_length_b 6.919
_cell_length_c 10.990
_cell_angle_alpha 90.00
_cell_angle_beta 90.05
_cell_angle_gamma 90.00
_symmetry_space_group_name_H-M 'P 1 2/c 1'
_symmetry_Int_Tables_number 13
_symmetry_space_group_name_Hall '-P 2yc'
loop_
_atom_site_label
_atom_site_fract_x
_atom_site_fract_y
_atom_site_fract_z
Tb1 0.124 0.126 0.388
Tb2 0.374 0.376 0.613
Y1 0.374 0.125 0.113
Tm1 0.125 0.375 0.888
```

Values from the calculation:
Electronic total energy (eV/cell): -77.34
DFT formation energy (kJ/mol of atoms): 20.8


# 3
A plane-wave DFT calculation with PBE-GGA was carried out for a relaxed structure of TbY8Tm3.

```
data_TbY8Tm3
_cell_length_a 6.939
_cell_length_b 11.561
_cell_length_c 9.857
_cell_angle_alpha 90.00
_cell_angle_beta 90.00
_cell_angle_gamma 90.00
_symmetry_space_group_name_H-M 'C m m m'
_symmetry_Int_Tables_number 65
_symmetry_space_group_name_Hall '-C 2 2'
loop_
_atom_site_label
_atom_site_fract_x
_atom_site_fract_y
_atom_site_fract_z
Tb1 0.000 0.000 0.000
Y1 0.000 0.251 0.188
Y2 0.250 0.000 0.313
Tm1 0.000 0.500 0.000
Tm2 0.250 0.250 0.500
```

Values from the calculation:
Electronic total energy (eV/cell): -134.82
DFT formation energy (kJ/mol of atoms): 18.9


# 4
A plane-wave DFT calculation with PBE-GGA was carried out for a relaxed structure of Tb4Y8Tm.

```
data_Tb4Y8Tm
_cell_length_a 7.2871
_cell_length_b 7.2871
_cell_length_c 27.6318
_cell_angle_alpha 90.00
_cell_angle_beta 90.00
_cell_angle_gamma 120.00
_symmetry_space_group_name_H-M 'R -3 m'
_symmetry_Int_Tables_number 166
_symmetry_space_group_name_Hall '-R 3 2"'
loop_
_atom_site_label
_atom_site_fract_x
_atom_site_fract_y
_atom_site_fract_z
Tb1 0.0000 0.0000 0.0000
Tb2 0.0000 0.5000 0.0000
Y1 0.0000 0.0000 0.2144
Y2 0.0319 0.5159 0.7665
Tm1 0.0000 0.0000 0.5000
```

Values from the calculation:
Electronic total energy (eV/cell): -215.66
DFT formation energy (kJ/mol of atoms): 20.9


# 5
A plane-wave DFT calculation with PBE-GGA was carried out for a relaxed structure of Tb5Y12Tm.

```
data_Tb5Y12Tm
_cell_length_a 15.110
_cell_length_b 15.135
_cell_length_c 5.037
_cell_angle_alpha 90.00
_cell_angle_beta 90.00
_cell_angle_gamma 90.00
_symmetry_space_group_name_H-M 'C m m m'
_symmetry_Int_Tables_number 65
_symmetry_space_group_name_Hall '-C 2 2'
loop_
_atom_site_label
_atom_site_fract_x
_atom_site_fract_y
_atom_site_fract_z
Tb1 0.000 0.000 0.000
Tb2 0.000 0.167 0.500
Tb3 0.000 0.334 0.000
Y1 0.165 0.500 0.000
Y2 0.166 0.000 0.500
Y3 0.166 0.167 0.000
Y4 0.166 0.334 0.500
Tm1 0.000 0.500 0.500
```

Values from the calculation:
Electronic total energy (eV/cell): -209.56
DFT formation energy (kJ/mol of atoms): 2.2


# 6
A plane-wave DFT calculation with PBE-GGA was carried out for a relaxed structure of TbY2Tm8.

```
data_TbY2Tm8
_cell_length_a 16.438
_cell_length_b 6.531
_cell_length_c 6.575
_cell_angle_alpha 90.00
_cell_angle_beta 101.09
_cell_angle_gamma 90.00
_symmetry_space_group_name_H-M 'C 1 2/m 1'
_symmetry_Int_Tables_number 12
_symmetry_space_group_name_Hall '-C 2y'
loop_
_atom_site_label
_atom_site_fract_x
_atom_site_fract_y
_atom_site_fract_z
Tb1 0.000 0.000 0.000
Y1 0.242 0.000 0.309
Tm1 0.087 0.263 0.407
Tm2 0.089 0.500 0.906
Tm3 0.202 0.000 0.799
```

Values from the calculation:
Electronic total energy (eV/cell): -102.56
DFT formation energy (kJ/mol of atoms): 18.0


# 7
A plane-wave DFT calculation with PBE-GGA was carried out for a relaxed structure of Tb5Y5Tm.

```
data_Tb5Y5Tm
_cell_length_a 6.0919
_cell_length_b 6.0919
_cell_length_c 11.4349
_cell_angle_alpha 90.00
_cell_angle_beta 90.00
_cell_angle_gamma 120.00
_symmetry_space_group_name_H-M 'P -6 m 2'
_symmetry_Int_Tables_number 187
_symmetry_space_group_name_Hall 'P -6 2'
loop_
_atom_site_label
_atom_site_fract_x
_atom_site_fract_y
_atom_site_fract_z
Tb1 0.0000 0.0000 0.2353
Tb2 0.3376 0.1688 0.0000
Y1 0.0000 0.0000 0.5000
Y2 0.3333 0.6667 0.1826
Y3 0.6667 0.3333 0.3409
Tm1 0.3333 0.6667 0.5000
```

Values from the calculation:
Electronic total energy (eV/cell): -56.51
DFT formation energy (kJ/mol of atoms): 30.1


# 8
A plane-wave DFT calculation with PBE-GGA was carried out for a relaxed structure of TbY5Tm12.

```
data_TbY5Tm12
_cell_length_a 6.108
_cell_length_b 10.585
_cell_length_c 17.213
_cell_angle_alpha 90.00
_cell_angle_beta 96.76
_cell_angle_gamma 90.00
_symmetry_space_group_name_H-M 'C 1 2/m 1'
_symmetry_Int_Tables_number 12
_symmetry_space_group_name_Hall '-C 2y'
loop_
_atom_site_label
_atom_site_fract_x
_atom_site_fract_y
_atom_site_fract_z
Tb1 0.000 0.000 0.000
Y1 0.000 0.167 0.500
Y2 0.000 0.333 0.000
Y3 0.000 0.500 0.500
Tm1 0.110 0.000 0.331
Tm2 0.110 0.333 0.331
Tm3 0.222 0.166 0.167
Tm4 0.223 0.500 0.167
```

Values from the calculation:
Electronic total energy (eV/cell): -180.67
DFT formation energy (kJ/mol of atoms): 1.5


# 9
A plane-wave DFT calculation with PBE-GGA was carried out for a relaxed structure of Tb3Y5Tm2.

```
data_Tb3Y5Tm2
_cell_length_a 12.141
_cell_length_b 17.083
_cell_length_c 6.303
_cell_angle_alpha 90.00
_cell_angle_beta 90.00
_cell_angle_gamma 90.00
_symmetry_space_group_name_H-M 'I b a m'
_symmetry_Int_Tables_number 72
_symmetry_space_group_name_Hall '-I 2 2c'
loop_
_atom_site_label
_atom_site_fract_x
_atom_site_fract_y
_atom_site_fract_z
Tb1 0.000 0.000 0.250
Tb2 0.084 0.332 0.000
Y1 0.000 0.500 0.250
Y2 0.248 0.176 0.000
Y3 0.250 0.000 0.250
Tm1 0.087 0.165 0.500
```

Values from the calculation:
Electronic total energy (eV/cell): -207.97
DFT formation energy (kJ/mol of atoms): 30.5


# 10
A plane-wave DFT calculation with PBE-GGA was carried out for a relaxed structure of Tb3Y2Tm3.

```
data_Tb3Y2Tm3
_cell_length_a 5.610
_cell_length_b 14.473
_cell_length_c 6.256
_cell_angle_alpha 90.00
_cell_angle_beta 90.05
_cell_angle_gamma 90.00
_symmetry_space_group_name_H-M 'P 1 21/m 1'
_symmetry_Int_Tables_number 11
_symmetry_space_group_name_Hall '-P 2yb'
loop_
_atom_site_label
_atom_site_fract_x
_atom_site_fract_y
_atom_site_fract_z
Tb1 0.250 0.125 0.171
Tb2 0.250 0.750 0.663
Y1 0.250 0.624 0.165
Tm1 0.250 0.000 0.665
Tm2 0.250 0.250 0.668
```

Values from the calculation:
Electronic total energy (eV/cell): -80.38
DFT formation energy (kJ/mol of atoms): 0.5


# 11
A plane-wave DFT calculation with PBE-GGA was carried out for a relaxed structure of Tb5Y6Tm2.

```
data_Tb5Y6Tm2
_cell_length_a 11.622
_cell_length_b 20.310
_cell_length_c 3.567
_cell_angle_alpha 90.00
_cell_angle_beta 90.00
_cell_angle_gamma 90.00
_symmetry_space_group_name_H-M 'P b a m'
_symmetry_Int_Tables_number 55
_symmetry_space_group_name_Hall '-P 2 2ab'
loop_
_atom_site_label
_atom_site_fract_x
_atom_site_fract_y
_atom_site_fract_z
Tb1 0.000 0.000 0.000
Tb2 0.087 0.272 0.000
Tb3 0.199 0.550 0.000
Y1 0.058 0.418 0.500
Y2 0.084 0.131 0.500
Y3 0.173 0.862 0.000
Tm1 0.168 0.709 0.500
```

Values from the calculation:
Electronic total energy (eV/cell): -139.12
DFT formation energy (kJ/mol of atoms): 9.8


# 12
A plane-wave DFT calculation with PBE-GGA was carried out for a relaxed structure of Tb5Y2Tm.

```
data_Tb5Y2Tm
_cell_length_a 7.113
_cell_length_b 14.230
_cell_length_c 5.019
_cell_angle_alpha 90.00
_cell_angle_beta 90.00
_cell_angle_gamma 90.00
_symmetry_space_group_name_H-M 'P b a m'
_symmetry_Int_Tables_number 55
_symmetry_space_group_name_Hall '-P 2 2ab'
loop_
_atom_site_label
_atom_site_fract_x
_atom_site_fract_y
_atom_site_fract_z
Tb1 0.000 0.000 0.000
Tb2 0.000 0.250 0.000
Tb3 0.250 0.125 0.500
Y1 0.250 0.375 0.500
Tm1 0.000 0.500 0.000
```

Values from the calculation:
Electronic total energy (eV/cell): -80.82
DFT formation energy (kJ/mol of atoms): 1.7


# 13
A plane-wave DFT calculation with PBE-GGA was carried out for a relaxed structure of Tb6YTm.

```
data_Tb6YTm
_cell_length_a 5.026
_cell_length_b 5.026
_cell_length_c 10.052
_cell_angle_alpha 90.00
_cell_angle_beta 90.00
_cell_angle_gamma 90.00
_symmetry_space_group_name_H-M 'P 4/m m m'
_symmetry_Int_Tables_number 123
_symmetry_space_group_name_Hall '-P 4 2'
loop_
_atom_site_label
_atom_site_fract_x
_atom_site_fract_y
_atom_site_fract_z
Tb1 0.000 0.000 0.000
Tb2 0.000 0.000 0.500
Tb3 0.000 0.500 0.248
Y1 0.500 0.500 0.500
Tm1 0.500 0.500 0.000
```

Values from the calculation:
Electronic total energy (eV/cell): -38.55
DFT formation energy (kJ/mol of atoms): 2.0


# 14
A plane-wave DFT calculation with PBE-GGA was carried out for a relaxed structure of Tb4YTm6.

```
data_Tb4YTm6
_cell_length_a 6.519
_cell_length_b 6.519
_cell_length_c 16.913
_cell_angle_alpha 90.00
_cell_angle_beta 90.00
_cell_angle_gamma 90.00
_symmetry_space_group_name_H-M 'I -4 2 m'
_symmetry_Int_Tables_number 121
_symmetry_space_group_name_Hall 'I -4 2'
loop_
_atom_site_label
_atom_site_fract_x
_atom_site_fract_y
_atom_site_fract_z
Tb1 0.187 0.187 0.174
Y1 0.000 0.000 0.000
Tm1 0.000 0.500 0.000
Tm2 0.179 0.179 0.370
```

Values from the calculation:
Electronic total energy (eV/cell): -96.78
DFT formation energy (kJ/mol of atoms): 30.1


# 15
A plane-wave DFT calculation with PBE-GGA was carried out for a relaxed structure of Tb2Y5Tm3.

```
data_Tb2Y5Tm3
_cell_length_a 10.669
_cell_length_b 15.883
_cell_length_c 9.364
_cell_angle_alpha 90.00
_cell_angle_beta 124.56
_cell_angle_gamma 90.00
_symmetry_space_group_name_H-M 'C 1 2/c 1'
_symmetry_Int_Tables_number 15
_symmetry_space_group_name_Hall '-C 2yc'
loop_
_atom_site_label
_atom_site_fract_x
_atom_site_fract_y
_atom_site_fract_z
Tb1 0.143 0.121 0.045
Y1 0.000 0.231 0.250
Y2 0.000 0.271 0.750
Y3 0.000 0.470 0.750
Y4 0.241 0.387 0.235
Tm1 0.000 0.029 0.250
Tm2 0.154 0.381 0.549
```

Values from the calculation:
Electronic total energy (eV/cell): -212.27
DFT formation energy (kJ/mol of atoms): 18.6


# 16
A plane-wave DFT calculation with PBE-GGA was carried out for a relaxed structure of TbY10Tm4.

```
data_TbY10Tm4
_cell_length_a 12.117
_cell_length_b 12.117
_cell_length_c 7.660
_cell_angle_alpha 90.00
_cell_angle_beta 90.00
_cell_angle_gamma 90.00
_symmetry_space_group_name_H-M 'I 4/m'
_symmetry_Int_Tables_number 87
_symmetry_space_group_name_Hall '-I 4'
loop_
_atom_site_label
_atom_site_fract_x
_atom_site_fract_y
_atom_site_fract_z
Tb1 0.000 0.000 0.000
Y1 0.000 0.500 0.250
Y2 0.100 0.200 0.251
Tm1 0.100 0.699 0.500
```

Values from the calculation:
Electronic total energy (eV/cell): -152.50
DFT formation energy (kJ/mol of atoms): 70.2


# 17
A plane-wave DFT calculation with PBE-GGA was carried out for a relaxed structure of Tb6Y2Tm5.

```
data_Tb6Y2Tm5
_cell_length_a 11.607
_cell_length_b 20.043
_cell_length_c 3.564
_cell_angle_alpha 90.00
_cell_angle_beta 90.00
_cell_angle_gamma 90.00
_symmetry_space_group_name_H-M 'P b a m'
_symmetry_Int_Tables_number 55
_symmetry_space_group_name_Hall '-P 2 2ab'
loop_
_atom_site_label
_atom_site_fract_x
_atom_site_fract_y
_atom_site_fract_z
Tb1 0.058 0.080 0.000
Tb2 0.083 0.367 0.000
Tb3 0.173 0.631 0.500
Y1 0.163 0.788 0.000
Tm1 0.000 0.500 0.500
Tm2 0.096 0.225 0.500
Tm3 0.199 0.948 0.500
```

Values from the calculation:
Electronic total energy (eV/cell): -123.55
DFT formation energy (kJ/mol of atoms): 9.6